# AlGaPd2

A geometry-optimized AlGaPd2 structure (PBE, Alexandria).

Summary:
- N(E_F) (states/eV/f.u.) = 1.559
- space-group type = No. 122
- electronic total energy (eV per atom) = -4.375
- crystal system = tetragonal
- energy relative to the elements (eV per atom) = -0.086

Lattice parameters (Å, degrees): 6.5741 6.5741 6.5741 126.74 126.74 78.68
Fractional positions:
Al 0.0000 0.0000 0.0000
Al 0.7500 0.2500 0.5000
Ga 0.2500 0.7500 0.5000
Ga 0.5000 0.5000 0.0000
Pd 0.1204 0.6250 0.9954
Pd 0.3750 0.3704 0.4954
Pd 0.6296 0.1250 0.0046
Pd 0.8750 0.8796 0.5046

=====

# AlGaPd6

A geometry-optimized AlGaPd6 structure (PBE, Alexandria).

Summary:
- N(E_F) (states/eV/f.u.) = 5.535
- space-group type = No. 12
- electronic total energy (eV per atom) = -5.066
- crystal system = monoclinic
- energy relative to the elements (eV per atom) = -0.325
- distance to the lowest polymorph of the same formula (eV per atom) = 0.234

Lattice parameters (Å, degrees): 4.5846 4.5846 7.2191 106.94 106.94 72.20
Fractional positions:
Al 0.0000 0.0000 0.0000
Ga 0.5000 0.5000 0.5000
Pd 0.0498 0.5635 0.1977
Pd 0.1498 0.1498 0.4375
Pd 0.4365 0.9502 0.8023
Pd 0.5635 0.0498 0.1977
Pd 0.8502 0.8502 0.5625
Pd 0.9502 0.4365 0.8023

=====

# AlGaPd2

A geometry-optimized AlGaPd2 structure (PBE, Alexandria).

Summary:
- N(E_F) (states/eV/f.u.) = 1.236
- space-group type = No. 13
- electronic total energy (eV per atom) = -4.948
- crystal system = monoclinic
- energy relative to the elements (eV per atom) = -0.659

Lattice parameters (Å, degrees): 4.8661 5.3078 10.6033 90.00 116.86 90.00
Fractional positions:
Al 0.1798 0.1583 0.1251
Al 0.1798 0.8417 0.6251
Al 0.8202 0.1583 0.3749
Al 0.8202 0.8417 0.8749
Ga 0.3191 0.1566 0.8747
Ga 0.3191 0.8434 0.3747
Ga 0.6809 0.1566 0.6253
Ga 0.6809 0.8434 0.1253
Pd 0.1758 0.3359 0.6208
Pd 0.1758 0.6641 0.1208
Pd 0.3186 0.3404 0.3712
Pd 0.3186 0.6596 0.8712
Pd 0.6814 0.3404 0.1288
Pd 0.6814 0.6596 0.6288
Pd 0.8242 0.3359 0.8792
Pd 0.8242 0.6641 0.3792

=====

# AlGa3Pd

A geometry-optimized AlGa3Pd structure (PBE, Alexandria).

Summary:
- N(E_F) (states/eV/f.u.) = 3.682
- space-group type = No. 221
- electronic total energy (eV per atom) = -3.503
- crystal system = cubic
- energy relative to the elements (eV per atom) = 0.100
- distance to the lowest polymorph of the same formula (eV per atom) = 0.335

Lattice parameters (Å, degrees): 4.8273 4.8273 4.8273 90.00 90.00 90.00
Fractional positions:
Al 0.0000 0.0000 0.0000
Ga 0.0000 0.5000 0.5000
Ga 0.5000 0.0000 0.5000
Ga 0.5000 0.5000 0.0000
Pd 0.5000 0.5000 0.5000

=====

# Al2GaPd2

A geometry-optimized Al2GaPd2 structure (PBE, Alexandria).

Summary:
- N(E_F) (states/eV/f.u.) = 1.202
- space-group type = No. 127
- electronic total energy (eV per atom) = -4.723
- crystal system = tetragonal
- energy relative to the elements (eV per atom) = -0.543
- distance to the lowest polymorph of the same formula (eV per atom) = 0.137

Lattice parameters (Å, degrees): 7.5030 7.5030 2.8529 90.00 90.00 90.00
Fractional positions:
Al 0.1461 0.3539 0.0000
Al 0.3539 0.8539 0.0000
Al 0.6461 0.1461 0.0000
Al 0.8539 0.6461 0.0000
Ga 0.0000 0.0000 0.0000
Ga 0.5000 0.5000 0.0000
Pd 0.1470 0.6470 0.5000
Pd 0.3530 0.1470 0.5000
Pd 0.6470 0.8530 0.5000
Pd 0.8530 0.3530 0.5000

=====

# Al2Ga5Pd12

A geometry-optimized Al2Ga5Pd12 structure (PBE, Alexandria).

Summary:
- N(E_F) (states/eV/f.u.) = 7.078
- space-group type = No. 12
- electronic total energy (eV per atom) = -4.958
- crystal system = monoclinic
- energy relative to the elements (eV per atom) = -0.488

Lattice parameters (Å, degrees): 7.3363 7.3363 8.3048 97.11 97.11 45.94
Fractional positions:
Al 0.2490 0.7510 0.0000
Al 0.7510 0.2490 0.0000
Ga 0.1602 0.1602 0.8542
Ga 0.2117 0.2117 0.3698
Ga 0.5000 0.5000 0.5000
Ga 0.7883 0.7883 0.6302
Ga 0.8398 0.8398 0.1458
Pd 0.0217 0.0217 0.2703
Pd 0.0648 0.5704 0.8778
Pd 0.0951 0.6220 0.4216
Pd 0.3780 0.9049 0.5784
Pd 0.3931 0.3931 0.1561
Pd 0.4296 0.9352 0.1222
Pd 0.5704 0.0648 0.8778
Pd 0.6069 0.6069 0.8439
Pd 0.6220 0.0951 0.4216
Pd 0.9049 0.3780 0.5784
Pd 0.9352 0.4296 0.1222
Pd 0.9783 0.9783 0.7297

=====

# Al6GaPd12

A geometry-optimized Al6GaPd12 structure (PBE, Alexandria).

Summary:
- N(E_F) (states/eV/f.u.) = 4.009
- space-group type = No. 148
- electronic total energy (eV per atom) = -5.170
- crystal system = trigonal
- energy relative to the elements (eV per atom) = -0.549

Lattice parameters (Å, degrees): 7.0510 7.0510 7.0510 99.80 99.80 99.80
Fractional positions:
Al 0.0386 0.7765 0.6532
Al 0.2235 0.3468 0.9614
Al 0.3468 0.9614 0.2235
Al 0.6532 0.0386 0.7765
Al 0.7765 0.6532 0.0386
Al 0.9614 0.2235 0.3468
Ga 0.5000 0.5000 0.5000
Pd 0.0225 0.8877 0.3222
Pd 0.1123 0.6778 0.9775
Pd 0.1810 0.4730 0.6221
Pd 0.3222 0.0225 0.8877
Pd 0.3779 0.8190 0.5270
Pd 0.4730 0.6221 0.1810
Pd 0.5270 0.3779 0.8190
Pd 0.6221 0.1810 0.4730
Pd 0.6778 0.9775 0.1123
Pd 0.8190 0.5270 0.3779
Pd 0.8877 0.3222 0.0225
Pd 0.9775 0.1123 0.6778

=====

# AlGa2Pd5

A geometry-optimized AlGa2Pd5 structure (PBE, Alexandria).

Summary:
- N(E_F) (states/eV/f.u.) = 2.843
- space-group type = No. 55
- electronic total energy (eV per atom) = -5.165
- crystal system = orthorhombic
- energy relative to the elements (eV per atom) = -0.695

Lattice parameters (Å, degrees): 5.4782 10.7067 4.0582 90.00 90.00 90.00
Fractional positions:
Al 0.0000 0.0000 0.0000
Al 0.5000 0.5000 0.0000
Ga 0.1596 0.3563 0.5000
Ga 0.3404 0.8563 0.5000
Ga 0.6596 0.1437 0.5000
Ga 0.8404 0.6437 0.5000
Pd 0.0000 0.5000 0.0000
Pd 0.0941 0.7683 0.0000
Pd 0.1876 0.1045 0.5000
Pd 0.3124 0.6045 0.5000
Pd 0.4059 0.2683 0.0000
Pd 0.5000 0.0000 0.0000
Pd 0.5941 0.7317 0.0000
Pd 0.6876 0.3955 0.5000
Pd 0.8124 0.8955 0.5000
Pd 0.9059 0.2317 0.0000

=====

# Al4GaPd

A geometry-optimized Al4GaPd structure (PBE, Alexandria).

Summary:
- N(E_F) (states/eV/f.u.) = 1.493
- space-group type = No. 74
- electronic total energy (eV per atom) = -4.198
- crystal system = orthorhombic
- energy relative to the elements (eV per atom) = -0.333
- distance to the lowest polymorph of the same formula (eV per atom) = 0.000

Lattice parameters (Å, degrees): 7.3190 7.3190 7.3190 132.04 130.79 71.16
Fractional positions:
Al 0.0000 0.2391 0.2391
Al 0.0000 0.7609 0.7609
Al 0.2625 0.0000 0.7625
Al 0.2625 0.5000 0.2625
Al 0.5000 0.2391 0.7391
Al 0.5000 0.7609 0.2609
Al 0.7375 0.0000 0.2375
Al 0.7375 0.5000 0.7375
Ga 0.1248 0.3748 0.7500
Ga 0.8752 0.6252 0.2500
Pd 0.3748 0.1248 0.2500
Pd 0.6252 0.8752 0.7500

=====

# AlGaPd3

A geometry-optimized AlGaPd3 structure (PBE, Alexandria).

Summary:
- N(E_F) (states/eV/f.u.) = 1.846
- space-group type = No. 15
- electronic total energy (eV per atom) = -5.092
- crystal system = monoclinic
- energy relative to the elements (eV per atom) = -0.623
- distance to the lowest polymorph of the same formula (eV per atom) = 0.000

Lattice parameters (Å, degrees): 7.3195 7.3195 5.9441 98.80 98.80 95.25
Fractional positions:
Al 0.0044 0.9956 0.7500
Al 0.2763 0.7237 0.7500
Al 0.7237 0.2763 0.2500
Al 0.9956 0.0044 0.2500
Ga 0.2069 0.5293 0.3041
Ga 0.4707 0.7931 0.1959
Ga 0.5293 0.2069 0.8041
Ga 0.7931 0.4707 0.6959
Pd 0.0310 0.7094 0.9933
Pd 0.0468 0.3008 0.5313
Pd 0.2906 0.9690 0.5067
Pd 0.3008 0.0468 0.0313
Pd 0.3158 0.4428 0.9241
Pd 0.4428 0.3158 0.4241
Pd 0.5572 0.6842 0.5759
Pd 0.6842 0.5572 0.0759
Pd 0.6992 0.9532 0.9687
Pd 0.7094 0.0310 0.4933
Pd 0.9532 0.6992 0.4687
Pd 0.9690 0.2906 0.0067

=====

# AlGaPd4

A geometry-optimized AlGaPd4 structure (PBE, Alexandria).

Summary:
- N(E_F) (states/eV/f.u.) = 1.767
- space-group type = No. 62
- electronic total energy (eV per atom) = -5.265
- crystal system = orthorhombic
- energy relative to the elements (eV per atom) = -0.675
- distance to the lowest polymorph of the same formula (eV per atom) = 0.000

Lattice parameters (Å, degrees): 6.6595 3.7559 14.6733 90.00 90.00 90.00
Fractional positions:
Al 0.2360 0.2500 0.0538
Al 0.2640 0.7500 0.5538
Al 0.7360 0.2500 0.4462
Al 0.7640 0.7500 0.9462
Ga 0.2421 0.7500 0.3060
Ga 0.2579 0.2500 0.8060
Ga 0.7421 0.7500 0.1940
Ga 0.7579 0.2500 0.6940
Pd 0.0052 0.2500 0.5696
Pd 0.0626 0.7500 0.7154
Pd 0.1069 0.7500 0.1486
Pd 0.1574 0.7500 0.9357
Pd 0.3426 0.2500 0.4357
Pd 0.3931 0.2500 0.6486
Pd 0.4374 0.2500 0.2154
Pd 0.4948 0.7500 0.0696
Pd 0.5052 0.2500 0.9304
Pd 0.5626 0.7500 0.7846
Pd 0.6069 0.7500 0.3514
Pd 0.6574 0.7500 0.5643
Pd 0.8426 0.2500 0.0643
Pd 0.8931 0.2500 0.8514
Pd 0.9374 0.2500 0.2846
Pd 0.9948 0.7500 0.4304

=====

# Al2GaPd2

A geometry-optimized Al2GaPd2 structure (PBE, Alexandria).

Summary:
- N(E_F) (states/eV/f.u.) = 1.879
- space-group type = No. 139
- electronic total energy (eV per atom) = -4.617
- crystal system = tetragonal
- energy relative to the elements (eV per atom) = -0.437
- distance to the lowest polymorph of the same formula (eV per atom) = 0.243

Lattice parameters (Å, degrees): 6.6877 6.6877 6.6877 147.59 147.59 46.48
Fractional positions:
Al 0.2500 0.7500 0.5000
Al 0.7500 0.2500 0.5000
Ga 0.0000 0.0000 0.0000
Pd 0.3874 0.3874 0.0000
Pd 0.6126 0.6126 0.0000

=====

# Al4GaPd

A geometry-optimized Al4GaPd structure (PBE, Alexandria).

Summary:
- N(E_F) (states/eV/f.u.) = 2.167
- space-group type = No. 12
- electronic total energy (eV per atom) = -4.108
- crystal system = monoclinic
- energy relative to the elements (eV per atom) = -0.243
- distance to the lowest polymorph of the same formula (eV per atom) = 0.090

Lattice parameters (Å, degrees): 7.0458 7.0458 4.9479 110.20 110.20 24.81
Fractional positions:
Al 0.1625 0.1625 0.3264
Al 0.3338 0.3338 0.1599
Al 0.6662 0.6662 0.8401
Al 0.8375 0.8375 0.6736
Ga 0.0000 0.0000 0.5000
Pd 0.5000 0.5000 0.0000

=====

# AlGaPd2

A geometry-optimized AlGaPd2 structure (PBE, Alexandria).

Summary:
- N(E_F) (states/eV/f.u.) = 1.251
- space-group type = No. 160
- electronic total energy (eV per atom) = -4.859
- crystal system = trigonal
- energy relative to the elements (eV per atom) = -0.570

Lattice parameters (Å, degrees): 5.2761 5.2761 5.2761 44.78 44.78 44.78
Fractional positions:
Al 0.0000 0.0000 0.0000
Ga 0.8148 0.8148 0.8148
Pd 0.3937 0.3937 0.3937
Pd 0.5926 0.5926 0.5926

=====

# Pm3Al2GaPd9

A geometry-optimized Pm3Al2GaPd9 structure (PBE, Alexandria).

Summary:
- N(E_F) (states/eV/f.u.) = 5.177
- space-group type = No. 164
- electronic total energy (eV per atom) = -5.406
- crystal system = trigonal
- energy relative to the elements (eV per atom) = -0.640

Lattice parameters (Å, degrees): 5.7517 5.7517 11.0831 90.00 90.00 120.00
Fractional positions:
Pm 0.0000 0.0000 0.0000
Pm 0.3333 0.6667 0.7393
Pm 0.6667 0.3333 0.2607
Al 0.3333 0.6667 0.1679
Al 0.6667 0.3333 0.8321
Ga 0.0000 0.0000 0.5000
Pd 0.0000 0.5000 0.0000
Pd 0.1658 0.3316 0.3306
Pd 0.1658 0.8342 0.3306
Pd 0.3316 0.1658 0.6694
Pd 0.5000 0.0000 0.0000
Pd 0.5000 0.5000 0.0000
Pd 0.6684 0.8342 0.3306
Pd 0.8342 0.1658 0.6694
Pd 0.8342 0.6684 0.6694

=====

# Pm2Al3GaPd4

A geometry-optimized Pm2Al3GaPd4 structure (PBE, Alexandria).

Summary:
- N(E_F) (states/eV/f.u.) = 7.503
- space-group type = No. 115
- electronic total energy (eV per atom) = -5.302
- crystal system = tetragonal
- energy relative to the elements (eV per atom) = -0.850

Lattice parameters (Å, degrees): 4.3701 4.3701 10.0699 90.00 90.00 90.00
Fractional positions:
Pm 0.0000 0.5000 0.2483
Pm 0.5000 0.0000 0.7517
Al 0.0000 0.0000 0.0000
Al 0.0000 0.5000 0.6251
Al 0.5000 0.0000 0.3749
Ga 0.5000 0.5000 0.0000
Pd 0.0000 0.0000 0.5000
Pd 0.0000 0.5000 0.8692
Pd 0.5000 0.0000 0.1308
Pd 0.5000 0.5000 0.5000

=====

# Pm2AlGaPd6

A geometry-optimized Pm2AlGaPd6 structure (PBE, Alexandria).

Summary:
- N(E_F) (states/eV/f.u.) = 3.588
- space-group type = No. 2
- electronic total energy (eV per atom) = -5.399
- crystal system = triclinic
- energy relative to the elements (eV per atom) = -0.656

Lattice parameters (Å, degrees): 5.7138 5.7150 8.2154 110.17 90.12 119.97
Fractional positions:
Pm 0.2097 0.4183 0.1288
Pm 0.7903 0.5817 0.8712
Al 0.5000 0.0000 0.0000
Ga 0.0000 0.0000 0.5000
Pd 0.2486 0.9959 0.2474
Pd 0.2498 0.5022 0.7517
Pd 0.2508 0.0041 0.7532
Pd 0.7492 0.9959 0.2468
Pd 0.7502 0.4978 0.2483
Pd 0.7514 0.0041 0.7526

=====

# PmAlGa2Pd

A geometry-optimized PmAlGa2Pd structure (PBE, Alexandria).

Summary:
- N(E_F) (states/eV/f.u.) = 2.661
- space-group type = No. 119
- electronic total energy (eV per atom) = -4.659
- crystal system = tetragonal
- energy relative to the elements (eV per atom) = -0.711

Lattice parameters (Å, degrees): 6.2848 6.2848 6.2848 141.49 141.49 55.60
Fractional positions:
Pm 0.0000 0.0000 0.0000
Al 0.7500 0.2500 0.5000
Ga 0.3884 0.3884 0.0000
Ga 0.6116 0.6116 0.0000
Pd 0.2500 0.7500 0.5000

=====

# PmAlGaPd

A geometry-optimized PmAlGaPd structure (PBE, Alexandria).

Summary:
- N(E_F) (states/eV/f.u.) = 1.776
- space-group type = No. 160
- electronic total energy (eV per atom) = -4.894
- crystal system = trigonal
- energy relative to the elements (eV per atom) = -0.715
- distance to the lowest polymorph of the same formula (eV per atom) = 0.000

Lattice parameters (Å, degrees): 5.7905 5.7905 5.7905 43.30 43.30 43.30
Fractional positions:
Pm 0.0000 0.0000 0.0000
Al 0.2085 0.2085 0.2085
Ga 0.7840 0.7840 0.7840
Pd 0.5036 0.5036 0.5036

=====

# PmAlGaPd

A geometry-optimized PmAlGaPd structure (PBE, Alexandria).

Summary:
- N(E_F) (states/eV/f.u.) = 1.819
- space-group type = No. 216
- electronic total energy (eV per atom) = -4.775
- crystal system = cubic
- energy relative to the elements (eV per atom) = -0.597
- distance to the lowest polymorph of the same formula (eV per atom) = 0.118

Lattice parameters (Å, degrees): 4.7971 4.7971 4.7971 60.00 60.00 60.00
Fractional positions:
Pm 0.0000 0.0000 0.0000
Al 0.5000 0.5000 0.5000
Ga 0.2500 0.2500 0.2500
Pd 0.7500 0.7500 0.7500